Entry 1:
Compound: Mn5W
Source: Alexandria via LeMat-Bulk
Functional: PBE-GGA
Structure: optimized geometry

For the density of states at the Fermi level, the calculation gives 1.260 states/eV/atom. Its excess energy over the best structure of this formula in the dataset is 231 meV/atom. The calculation puts the magnetic moment at 0.00 μB/f.u. The mass density is 10.5 g/cm3. The value obtained for the formation energy is 0.251 eV per atom.

The structure belongs to space group P6/mmm (No. 191); the cell edges are 4.5896, 4.5896 and 3.9866 Å and the angles 90.00°, 90.00° and 120.00°. The asymmetric unit holds Mn at (0.0000, 0.5000, 0.0000), Mn at (0.3333, 0.6667, 0.5000) and W at (0.0000, 0.0000, 0.5000).

Entry 2:
Compound: MnW2
Source: Alexandria via LeMat-Bulk
Functional: PBE-GGA
Structure: optimized geometry

For the density of states at the Fermi level, the calculation gives 1.039 states/eV/atom. The calculation puts the magnetic moment at 1.20 μB/f.u. The mass density is 16.0 g/cm3. The value obtained for the formation energy is 0.144 eV per atom.

The structure belongs to space group Cmcm (No. 63); the cell edges are 3.140, 12.820 and 4.372 Å and the angles 90.00°, 90.00° and 90.00°. The asymmetric unit holds Mn at (0.000, 0.082, 0.250), W at (0.000, 0.250, 0.750) and W at (0.000, 0.422, 0.250).

Entry 3:
Compound: MnW3
Source: Alexandria via LeMat-Bulk
Functional: PBE-GGA
Structure: optimized geometry

For the density of states at the Fermi level, the calculation gives 1.500 states/eV/atom. The calculation puts the magnetic moment at 1.05 μB/f.u. The mass density is 16.5 g/cm3. The value obtained for the formation energy is 0.458 eV per atom.

The structure belongs to space group P-6m2 (No. 187); the cell edges are 2.7790, 2.7790 and 9.1340 Å and the angles 90.00°, 90.00° and 120.00°. The asymmetric unit holds Mn at (0.0000, 0.0000, 0.0000), W at (0.0000, 0.0000, 0.5000) and W at (0.3333, 0.6667, 0.2303).